Density functional theory data (PBE) for a relaxed TaHgAs2Br crystal.

Values from the calculation:
ΔE_f (raw): 0.128 eV/atom
DFT total energy: -4.4974 eV per atom
magnetic moment: 0.00 μB/f.u.
DOS at the Fermi energy: 0.626 states/eV/atom

Structure (POSCAR):
```
TaHgAs2Br
1.0
5.0280 0.0000 0.0000
0.0000 5.0280 0.0000
0.0000 0.0000 5.3047
Ta Hg As Br
1 1 2 1
Direct
0.0000 0.0000 0.0000
0.5000 0.5000 0.5000
0.0000 0.5000 0.0000
0.5000 0.0000 0.0000
0.0000 0.0000 0.5000
```